Version one
VASP calculation (PBE) on a relaxed structure of RbMg3Pb3.

Cell and atoms, written as CIF:
```
data_RbMg3Pb3
_cell_length_a 8.200
_cell_length_b 8.200
_cell_length_c 8.200
_cell_angle_alpha 90.00
_cell_angle_beta 90.00
_cell_angle_gamma 90.00
_symmetry_space_group_name_H-M 'P m -3 n'
_symmetry_Int_Tables_number 223
_symmetry_space_group_name_Hall '-P 4n 2 3'
loop_
_atom_site_label
_atom_site_type_symbol
_atom_site_fract_x
_atom_site_fract_y
_atom_site_fract_z
Rb1 Rb 0.000 0.000 0.000
Mg1 Mg 0.000 0.250 0.500
Pb1 Pb 0.000 0.500 0.250
```

Results
As for the density: 4.70 g/cm3.

=====

Version two
VASP calculation (PBE) on a relaxed structure of RbMg3Pb3.

Cell and atoms, written as CIF:
```
data_RbMg3Pb3
_cell_length_a 7.3048
_cell_length_b 7.3048
_cell_length_c 30.8015
_cell_angle_alpha 90.00
_cell_angle_beta 90.00
_cell_angle_gamma 120.00
_symmetry_space_group_name_H-M 'R -3'
_symmetry_Int_Tables_number 148
_symmetry_space_group_name_Hall '-R 3'
loop_
_atom_site_label
_atom_site_type_symbol
_atom_site_fract_x
_atom_site_fract_y
_atom_site_fract_z
Rb1 Rb 0.0000 0.0000 0.1779
Mg1 Mg 0.0438 0.2718 0.6927
Pb1 Pb 0.0467 0.2791 0.5853
```

Results
As for the density: 5.46 g/cm3.

=====

Most stable: version two. Least stable: version one.

=====

Version one
VASP calculation (PBE) on a relaxed structure of Rb2MgPb2.

Cell and atoms, written as CIF:
```
data_Rb2MgPb2
_cell_length_a 12.986
_cell_length_b 5.599
_cell_length_c 12.488
_cell_angle_alpha 90.00
_cell_angle_beta 116.00
_cell_angle_gamma 90.00
_symmetry_space_group_name_H-M 'C 1 2/m 1'
_symmetry_Int_Tables_number 12
loop_
_symmetry_equiv_pos_as_xyz
'x,y,z'
'-x,-y,-z'
'-x,y,-z'
'x,-y,z'
'x+1/2,y+1/2,z'
'-x+1/2,-y+1/2,-z'
'-x+1/2,y+1/2,-z'
'x+1/2,-y+1/2,z'
loop_
_atom_site_label
_atom_site_type_symbol
_atom_site_fract_x
_atom_site_fract_y
_atom_site_fract_z
Rb1 Rb 0.095 0.000 0.387
Rb2 Rb 0.176 0.500 0.190
Mg1 Mg 0.152 0.500 0.875
Pb1 Pb 0.091 0.000 0.949
Pb2 Pb 0.105 0.500 0.612
```

Results
As for the density: 4.96 g/cm3.

=====

Version two
VASP calculation (PBE) on a relaxed structure of Rb2MgPb2.

Cell and atoms, written as CIF:
```
data_Rb2MgPb2
_cell_length_a 8.025
_cell_length_b 8.025
_cell_length_c 6.279
_cell_angle_alpha 90.00
_cell_angle_beta 90.00
_cell_angle_gamma 90.00
_symmetry_space_group_name_H-M 'P 4/m b m'
_symmetry_Int_Tables_number 127
_symmetry_space_group_name_Hall '-P 4 2ab'
loop_
_atom_site_label
_atom_site_type_symbol
_atom_site_fract_x
_atom_site_fract_y
_atom_site_fract_z
Rb1 Rb 0.174 0.326 0.000
Mg1 Mg 0.000 0.000 0.500
Pb1 Pb 0.138 0.638 0.500
```

Results
As for the density: 5.01 g/cm3.

=====

Most stable: version one. Least stable: version two.

=====

Version one
VASP calculation (PBE) on a relaxed structure of RbMgPb3.

Cell and atoms, written as CIF:
```
data_RbMgPb3
_cell_length_a 7.7344
_cell_length_b 7.7344
_cell_length_c 6.6135
_cell_angle_alpha 90.00
_cell_angle_beta 90.00
_cell_angle_gamma 120.00
_symmetry_space_group_name_H-M 'P 63/m m c'
_symmetry_Int_Tables_number 194
_symmetry_space_group_name_Hall '-P 6c 2c'
loop_
_atom_site_label
_atom_site_type_symbol
_atom_site_fract_x
_atom_site_fract_y
_atom_site_fract_z
Rb1 Rb 0.3333 0.6667 0.2500
Mg1 Mg 0.0000 0.0000 0.0000
Pb1 Pb 0.1921 0.3841 0.7500
```

Results
As for the density: 7.09 g/cm3.

=====

Version two
VASP calculation (PBE) on a relaxed structure of RbMgPb3.

Cell and atoms, written as CIF:
```
data_RbMgPb3
_cell_length_a 13.697
_cell_length_b 5.210
_cell_length_c 5.421
_cell_angle_alpha 90.00
_cell_angle_beta 113.29
_cell_angle_gamma 90.00
_symmetry_space_group_name_H-M 'C 1 m 1'
_symmetry_Int_Tables_number 8
loop_
_symmetry_equiv_pos_as_xyz
'x,y,z'
'x,-y,z'
'x+1/2,y+1/2,z'
'x+1/2,-y+1/2,z'
loop_
_atom_site_label
_atom_site_type_symbol
_atom_site_fract_x
_atom_site_fract_y
_atom_site_fract_z
Rb1 Rb 0.000 0.000 0.000
Mg1 Mg 0.368 0.000 0.369
Pb1 Pb 0.107 0.500 0.605
Pb2 Pb 0.245 0.500 0.244
Pb3 Pb 0.254 0.000 0.755
```

Results
As for the density: 6.84 g/cm3.

=====

Most stable: version two. Least stable: version one.

=====

Version one
VASP calculation (PBE) on a relaxed structure of RbMgPb3.

Cell and atoms, written as CIF:
```
data_RbMgPb3
_cell_length_a 5.721
_cell_length_b 5.721
_cell_length_c 5.721
_cell_angle_alpha 90.00
_cell_angle_beta 90.00
_cell_angle_gamma 90.00
_symmetry_space_group_name_H-M 'P m -3 m'
_symmetry_Int_Tables_number 221
_symmetry_space_group_name_Hall '-P 4 2 3'
loop_
_atom_site_label
_atom_site_type_symbol
_atom_site_fract_x
_atom_site_fract_y
_atom_site_fract_z
Rb1 Rb 0.000 0.000 0.000
Mg1 Mg 0.500 0.500 0.500
Pb1 Pb 0.000 0.500 0.500
```

Results
As for the density: 6.48 g/cm3.

=====

Version two
VASP calculation (PBE) on a relaxed structure of RbMgPb3.

Cell and atoms, written as CIF:
```
data_RbMgPb3
_cell_length_a 6.210
_cell_length_b 6.210
_cell_length_c 6.210
_cell_angle_alpha 90.00
_cell_angle_beta 90.00
_cell_angle_gamma 90.00
_symmetry_space_group_name_H-M 'P m -3 m'
_symmetry_Int_Tables_number 221
_symmetry_space_group_name_Hall '-P 4 2 3'
loop_
_atom_site_label
_atom_site_type_symbol
_atom_site_fract_x
_atom_site_fract_y
_atom_site_fract_z
Rb1 Rb 0.000 0.000 0.000
Mg1 Mg 0.500 0.500 0.500
Pb1 Pb 0.000 0.000 0.500
```

Results
As for the density: 5.07 g/cm3.

=====

Most stable: version one. Least stable: version two.

=====

Version one
VASP calculation (PBE) on a relaxed structure of RbMg2Pb2.

Cell and atoms, written as CIF:
```
data_RbMg2Pb2
_cell_length_a 5.059
_cell_length_b 5.059
_cell_length_c 12.899
_cell_angle_alpha 90.00
_cell_angle_beta 90.00
_cell_angle_gamma 90.00
_symmetry_space_group_name_H-M 'I 4/m m m'
_symmetry_Int_Tables_number 139
_symmetry_space_group_name_Hall '-I 4 2'
loop_
_atom_site_label
_atom_site_type_symbol
_atom_site_fract_x
_atom_site_fract_y
_atom_site_fract_z
Rb1 Rb 0.000 0.000 0.000
Mg1 Mg 0.000 0.500 0.250
Pb1 Pb 0.000 0.000 0.380
```

Results
As for the density: 5.52 g/cm3.

=====

Version two
VASP calculation (PBE) on a relaxed structure of RbMg2Pb2.

Cell and atoms, written as CIF:
```
data_RbMg2Pb2
_cell_length_a 9.496
_cell_length_b 9.496
_cell_length_c 3.327
_cell_angle_alpha 90.00
_cell_angle_beta 90.00
_cell_angle_gamma 90.00
_symmetry_space_group_name_H-M 'P 4/m b m'
_symmetry_Int_Tables_number 127
_symmetry_space_group_name_Hall '-P 4 2ab'
loop_
_atom_site_label
_atom_site_type_symbol
_atom_site_fract_x
_atom_site_fract_y
_atom_site_fract_z
Rb1 Rb 0.000 0.000 0.000
Mg1 Mg 0.127 0.373 0.000
Pb1 Pb 0.162 0.662 0.500
```

Results
As for the density: 6.07 g/cm3.

=====

Most stable: version one. Least stable: version two.

=====

Version one
VASP calculation (PBE) on a relaxed structure of RbMgTl2Pb.

Cell and atoms, written as CIF:
```
data_RbMgTl2Pb
_cell_length_a 4.866
_cell_length_b 4.866
_cell_length_c 14.593
_cell_angle_alpha 90.00
_cell_angle_beta 90.00
_cell_angle_gamma 90.00
_symmetry_space_group_name_H-M 'I -4 m 2'
_symmetry_Int_Tables_number 119
_symmetry_space_group_name_Hall 'I -4 -2'
loop_
_atom_site_label
_atom_site_type_symbol
_atom_site_fract_x
_atom_site_fract_y
_atom_site_fract_z
Rb1 Rb 0.000 0.000 0.000
Mg1 Mg 0.000 0.500 0.750
Tl1 Tl 0.000 0.000 0.389
Pb1 Pb 0.000 0.500 0.250
```

Results
As for the density: 6.97 g/cm3.

=====

Version two
VASP calculation (PBE) on a relaxed structure of RbMgTl2Pb.

Cell and atoms, written as CIF:
```
data_RbMgTl2Pb
_cell_length_a 5.750
_cell_length_b 5.750
_cell_length_c 5.665
_cell_angle_alpha 90.00
_cell_angle_beta 90.00
_cell_angle_gamma 90.00
_symmetry_space_group_name_H-M 'P 4/m m m'
_symmetry_Int_Tables_number 123
_symmetry_space_group_name_Hall '-P 4 2'
loop_
_atom_site_label
_atom_site_type_symbol
_atom_site_fract_x
_atom_site_fract_y
_atom_site_fract_z
Rb1 Rb 0.000 0.000 0.000
Mg1 Mg 0.500 0.500 0.500
Tl1 Tl 0.000 0.500 0.500
Pb1 Pb 0.500 0.500 0.000
```

Results
As for the density: 6.43 g/cm3.

=====

Most stable: version one. Least stable: version two.

=====

Version one
VASP calculation (PBE) on a relaxed structure of MgRe2Pb.

Cell and atoms, written as CIF:
```
data_MgRe2Pb
_cell_length_a 3.955
_cell_length_b 3.955
_cell_length_c 9.044
_cell_angle_alpha 90.00
_cell_angle_beta 90.00
_cell_angle_gamma 90.00
_symmetry_space_group_name_H-M 'I 4/m m m'
_symmetry_Int_Tables_number 139
_symmetry_space_group_name_Hall '-I 4 2'
loop_
_atom_site_label
_atom_site_type_symbol
_atom_site_fract_x
_atom_site_fract_y
_atom_site_fract_z
Mg1 Mg 0.000 0.000 0.000
Re1 Re 0.000 0.500 0.250
Pb1 Pb 0.000 0.000 0.500
```

Results
As for the density: 14.18 g/cm3.

=====

Version two
VASP calculation (PBE) on a relaxed structure of MgRe2Pb.

Cell and atoms, written as CIF:
```
data_MgRe2Pb
_cell_length_a 2.885
_cell_length_b 4.365
_cell_length_c 6.153
_cell_angle_alpha 90.00
_cell_angle_beta 90.00
_cell_angle_gamma 90.00
_symmetry_space_group_name_H-M 'P m m m'
_symmetry_Int_Tables_number 47
loop_
_symmetry_equiv_pos_as_xyz
'x,y,z'
'-x,-y,-z'
'-x,-y,z'
'x,y,-z'
'x,-y,-z'
'-x,y,z'
'-x,y,-z'
'x,-y,z'
loop_
_atom_site_label
_atom_site_type_symbol
_atom_site_fract_x
_atom_site_fract_y
_atom_site_fract_z
Mg1 Mg 0.000 0.000 0.000
Re1 Re 0.500 0.500 0.189
Pb1 Pb 0.000 0.000 0.500
```

Results
As for the density: 12.94 g/cm3.

=====

Version three
VASP calculation (PBE) on a relaxed structure of MgRe2Pb.

Cell and atoms, written as CIF:
```
data_MgRe2Pb
_cell_length_a 3.098
_cell_length_b 3.089
_cell_length_c 8.551
_cell_angle_alpha 90.00
_cell_angle_beta 99.95
_cell_angle_gamma 90.00
_symmetry_space_group_name_H-M 'P 1 m 1'
_symmetry_Int_Tables_number 6
loop_
_symmetry_equiv_pos_as_xyz
'x,y,z'
'x,-y,z'
loop_
_atom_site_label
_atom_site_type_symbol
_atom_site_fract_x
_atom_site_fract_y
_atom_site_fract_z
Mg1 Mg 0.000 0.000 0.000
Re1 Re 0.182 0.000 0.384
Re2 Re 0.605 0.500 0.221
Pb1 Pb 0.803 0.500 0.650
```

Results
As for the density: 12.44 g/cm3.

=====

Most stable: version three. Least stable: version one.

=====

Version one
VASP calculation (PBE) on a relaxed structure of MgRe2Pb.

Cell and atoms, written as CIF:
```
data_MgRe2Pb
_cell_length_a 2.775
_cell_length_b 2.775
_cell_length_c 9.748
_cell_angle_alpha 90.00
_cell_angle_beta 90.00
_cell_angle_gamma 90.00
_symmetry_space_group_name_H-M 'P 4/m m m'
_symmetry_Int_Tables_number 123
_symmetry_space_group_name_Hall '-P 4 2'
loop_
_atom_site_label
_atom_site_type_symbol
_atom_site_fract_x
_atom_site_fract_y
_atom_site_fract_z
Mg1 Mg 0.000 0.000 0.000
Re1 Re 0.500 0.500 0.225
Pb1 Pb 0.000 0.000 0.500
```

Results
As for the density: 13.36 g/cm3.

=====

Version two
VASP calculation (PBE) on a relaxed structure of MgRe2Pb.

Cell and atoms, written as CIF:
```
data_MgRe2Pb
_cell_length_a 8.176
_cell_length_b 3.130
_cell_length_c 7.237
_cell_angle_alpha 90.00
_cell_angle_beta 105.58
_cell_angle_gamma 90.00
_symmetry_space_group_name_H-M 'C 1 m 1'
_symmetry_Int_Tables_number 8
loop_
_symmetry_equiv_pos_as_xyz
'x,y,z'
'x,-y,z'
'x+1/2,y+1/2,z'
'x+1/2,-y+1/2,z'
loop_
_atom_site_label
_atom_site_type_symbol
_atom_site_fract_x
_atom_site_fract_y
_atom_site_fract_z
Mg1 Mg 0.000 0.000 0.000
Re1 Re 0.233 0.000 0.758
Re2 Re 0.493 0.000 0.644
Pb1 Pb 0.225 0.500 0.363
```

Results
As for the density: 11.24 g/cm3.

=====

Version three
VASP calculation (PBE) on a relaxed structure of MgRe2Pb.

Cell and atoms, written as CIF:
```
data_MgRe2Pb
_cell_length_a 9.559
_cell_length_b 3.308
_cell_length_c 5.061
_cell_angle_alpha 90.00
_cell_angle_beta 96.24
_cell_angle_gamma 90.00
_symmetry_space_group_name_H-M 'C 1 2/m 1'
_symmetry_Int_Tables_number 12
loop_
_symmetry_equiv_pos_as_xyz
'x,y,z'
'-x,-y,-z'
'-x,y,-z'
'x,-y,z'
'x+1/2,y+1/2,z'
'-x+1/2,-y+1/2,-z'
'-x+1/2,y+1/2,-z'
'x+1/2,-y+1/2,z'
loop_
_atom_site_label
_atom_site_type_symbol
_atom_site_fract_x
_atom_site_fract_y
_atom_site_fract_z
Mg1 Mg 0.000 0.000 0.000
Re1 Re 0.243 0.500 0.171
Pb1 Pb 0.000 0.500 0.500
```

Results
As for the density: 12.61 g/cm3.

=====

Most stable: version two. Least stable: version one.